w | Density functional theory data (PBE-GGA) for a relaxed Nd6AgPd5 crystal.

Lattice parameters (Å, degrees): 7.3500 7.3892 7.3093 59.64 80.53 71.00
Last column: nearest neighbours and their distance in Å.
Fractional coordinates of all 12 atoms:
1 Pd 0.5000 0.5000 0.0000  6 Nd 2.91-2.99
2 Pd 0.0000 0.6700 0.6600  6 Nd 2.97-3.00
3 Pd 0.5000 0.1576 0.6848  6 Nd 2.95-3.01
4 Pd 0.5000 0.8424 0.3152  6 Nd 2.95-3.01
5 Pd 0.0000 0.3300 0.3400  6 Nd 2.97-3.00
6 Nd 0.2482 0.2667 0.0000  5 Pd 2.91-2.98, 1 Ag 3.09
7 Nd 0.7518 0.7333 0.0000  5 Pd 2.91-2.98, 1 Ag 3.09
8 Nd 0.2615 0.9120 0.6525  5 Pd 2.95-3.01, 1 Ag 3.13
9 Nd 0.7385 0.0880 0.3475  5 Pd 2.95-3.01, 1 Ag 3.13
10 Nd 0.7385 0.4355 0.6525  5 Pd 2.95-3.01, 1 Ag 3.13
11 Nd 0.2615 0.5645 0.3475  5 Pd 2.95-3.01, 1 Ag 3.13
12 Ag 0.0000 0.0000 0.0000  6 Nd 3.09-3.13

Values from the calculation:
- SG: No. 12
- Magnetization: 0.00 μB per formula unit
- D(E_F): 6.9 states/eV/f.u.
- Theoretical density: 7.72 Mg/m³

***

x | Density functional theory data (PBE-GGA) for a relaxed Nd6AgPd5 crystal.

Lattice parameters (Å, degrees): 5.1572 7.2944 8.9159 65.85 73.51 90.00
Last column: nearest neighbours and their distance in Å.
Fractional coordinates of all 12 atoms:
1 Nd 0.8300 0.5761 0.3401  7 Pd 3.12-3.18, 1 Ag 3.22
2 Nd 0.5000 0.2578 0.0001  6 Pd 3.11-3.13, 2 Ag 3.19
3 Nd 0.1701 0.9162 0.6599  7 Pd 3.12-3.18, 1 Ag 3.22
4 Nd 0.8299 0.0838 0.3401  7 Pd 3.12-3.18, 1 Ag 3.22
5 Nd 0.1700 0.4239 0.6599  7 Pd 3.12-3.18, 1 Ag 3.22
6 Nd 0.5000 0.7422 0.9999  6 Pd 3.11-3.13, 2 Ag 3.19
7 Pd 0.0000 0.5000 0.0000  8 Nd 3.13-3.18
8 Pd 0.3402 0.8394 0.3210  8 Nd 3.11-3.18
9 Pd 0.3330 0.3328 0.3347  8 Nd 3.12-3.14
10 Pd 0.6598 0.1606 0.6790  8 Nd 3.11-3.18
11 Pd 0.6670 0.6672 0.6653  8 Nd 3.12-3.14
12 Ag 0.0000 0.0000 0.0000  8 Nd 3.19-3.22, 2 Pd 3.57

Values from the calculation:
- SG: No. 12
- Magnetization: 0.00 μB per formula unit
- D(E_F): 10.7 states/eV/f.u.
- Theoretical density: 8.59 Mg/m³

***

Relative energies, unit meV per atom: w 74; x 0

***

w | Density functional theory data (PBE-GGA) for a relaxed Nd4Ag3Pd crystal.

Lattice parameters (Å, degrees): 3.7164 3.7164 14.9594 90.00 90.00 90.00
Last column: nearest neighbours and their distance in Å.
Fractional coordinates of all 8 atoms:
1 Nd 0.0000 0.0000 0.6278  8 Ag 3.24-3.25
2 Nd 0.0000 0.0000 0.3722  8 Ag 3.24-3.25
3 Nd 0.0000 0.0000 0.8841  4 Pd 3.15, 4 Ag 3.27, 1 Nd 3.47
4 Nd 0.0000 0.0000 0.1159  4 Pd 3.15, 4 Ag 3.27, 1 Nd 3.47
5 Ag 0.5000 0.5000 0.5000  8 Nd 3.25
6 Ag 0.5000 0.5000 0.7540  8 Nd 3.24-3.27
7 Ag 0.5000 0.5000 0.2460  8 Nd 3.24-3.27
8 Pd 0.5000 0.5000 0.0000  8 Nd 3.15

Values from the calculation:
- SG: No. 123
- Magnetization: 0.00 μB per formula unit
- D(E_F): 7.9 states/eV/f.u.
- Theoretical density: 8.09 Mg/m³

***

x | Density functional theory data (PBE-GGA) for a relaxed Nd4Ag3Pd crystal.

Lattice parameters (Å, degrees): 3.9171 4.8681 11.1868 90.00 90.00 90.00
Last column: nearest neighbours and their distance in Å.
Fractional coordinates of all 8 atoms:
1 Ag 0.5000 0.0000 0.9228  2 Pd 3.01, 7 Nd 3.11-3.18
2 Ag 0.0000 0.5000 0.5764  2 Ag 2.99, 7 Nd 3.21-3.27
3 Ag 0.0000 0.0000 0.4207  2 Ag 2.99, 7 Nd 3.16-3.22
4 Pd 0.5000 0.5000 0.0804  2 Ag 3.01, 7 Nd 3.01-3.19
5 Nd 0.5000 0.5000 0.3492  1 Pd 3.01, 6 Ag 3.21-3.22
6 Nd 0.0000 0.5000 0.8687  2 Pd 3.07, 5 Ag 3.18-3.27
7 Nd 0.0000 0.0000 0.1384  3 Ag 3.11-3.16, 4 Pd 3.19
8 Nd 0.5000 0.0000 0.6434  7 Ag 3.12-3.21

Values from the calculation:
- SG: No. 25
- Magnetization: 0.00 μB per formula unit
- D(E_F): 6.5 states/eV/f.u.
- Theoretical density: 7.84 Mg/m³

***

Relative energies, unit meV per atom: w 10; x 0

***

w | Density functional theory data (PBE-GGA) for a relaxed Nd8AgPd2 crystal.

Lattice parameters (Å, degrees): 5.8296 8.1943 8.1943 115.66 99.25 99.25
Last column: nearest neighbours and their distance in Å.
Fractional coordinates of all 11 atoms:
1 Nd 0.4156 0.6701 0.9142  2 Pd 2.93-3.01
2 Nd 0.9995 0.2365 0.7685  2 Pd 3.05, 1 Ag 3.25
3 Nd 0.9995 0.7685 0.2365  2 Pd 3.05, 1 Ag 3.25
4 Nd 0.8139 0.6171 0.6171  1 Ag 3.21, 2 Pd 3.33, 3 Nd 3.35-3.57
5 Nd 0.5828 0.0921 0.3360  2 Pd 2.93-3.00
6 Nd 0.1849 0.3894 0.3894  1 Ag 3.21, 2 Pd 3.33, 3 Nd 3.35-3.57
7 Nd 0.4156 0.9142 0.6701  2 Pd 2.93-3.01
8 Nd 0.5828 0.3360 0.0921  2 Pd 2.93-3.00
9 Ag 0.0052 0.0031 0.0031  4 Nd 3.21-3.25
10 Pd 0.4999 0.3013 0.7055  6 Nd 2.93-3.05
11 Pd 0.4999 0.7055 0.3013  6 Nd 2.93-3.05

Values from the calculation:
- SG: No. 8
- Magnetization: 0.00 μB per formula unit
- D(E_F): 13.9 states/eV/f.u.
- Theoretical density: 7.28 Mg/m³

***

x | Density functional theory data (PBE-GGA) for a relaxed Nd8AgPd2 crystal.

Lattice parameters (Å, degrees): 5.3027 6.9487 9.7265 107.80 105.82 90.00
Last column: nearest neighbours and their distance in Å.
Fractional coordinates of all 11 atoms:
1 Nd 0.2002 0.3429 0.4005  1 Pd 2.95
2 Nd 0.9720 0.2189 0.9440  1 Pd 2.80
3 Nd 0.6755 0.0068 0.3510  1 Pd 2.85
4 Nd 0.0280 0.7811 0.0560  1 Pd 2.80
5 Nd 0.5937 0.4770 0.1874  1 Ag 3.22, 2 Pd 3.28, 3 Nd 3.51-3.58
6 Nd 0.3245 0.9932 0.6490  1 Pd 2.85
7 Nd 0.7998 0.6571 0.5995  1 Pd 2.95
8 Nd 0.4063 0.5230 0.8126  1 Ag 3.22, 2 Pd 3.28, 3 Nd 3.51-3.58
9 Pd 0.8283 0.2627 0.6566  3 Nd 2.80-2.95
10 Pd 0.1717 0.7373 0.3434  3 Nd 2.80-2.95
11 Ag 0.5000 0.0000 0.0000  8 Nd 3.18-3.27

Values from the calculation:
- SG: No. 12
- Magnetization: 0.00 μB per formula unit
- D(E_F): 10.9 states/eV/f.u.
- Theoretical density: 7.49 Mg/m³

***

Relative energies, unit meV per atom: w 103; x 0

***

w | Density functional theory data (PBE-GGA) for a relaxed NdAgPd crystal.

Lattice parameters (Å, degrees): 3.7784 3.7784 5.3812 110.55 110.55 90.00
Last column: nearest neighbours and their distance in Å.
Fractional coordinates of all 3 atoms:
1 Pd 0.2844 0.2844 0.5689  5 Nd 3.06-3.19, 5 Ag 3.07-3.16
2 Nd 0.9434 0.9434 0.8867  5 Ag 3.00-3.15, 5 Pd 3.06-3.19
3 Ag 0.6222 0.6222 0.2444  5 Nd 3.00-3.15, 5 Pd 3.07-3.16

Values from the calculation:
- SG: No. 107
- Magnetization: 0.00 μB per formula unit
- D(E_F): 1.7 states/eV/f.u.
- Theoretical density: 8.93 Mg/m³

***

x | Density functional theory data (PBE-GGA) for a relaxed NdAgPd crystal.

Lattice parameters (Å, degrees): 3.9918 7.6362 7.6362 120.00 90.00 90.00
Last column: nearest neighbours and their distance in Å.
Fractional coordinates of all 9 atoms:
1 Ag 0.0000 0.7437 0.7437  4 Pd 2.80-2.88
2 Ag 0.0000 0.2563 0.0000  4 Pd 2.80-2.88
3 Ag 0.0000 0.0000 0.2563  4 Pd 2.80-2.88
4 Pd 0.0000 0.3333 0.6667  3 Ag 2.88, 6 Nd 3.08
5 Pd 0.0000 0.6667 0.3333  3 Ag 2.88, 6 Nd 3.08
6 Pd 0.5000 0.0000 0.0000  6 Ag 2.80, 3 Nd 3.03
7 Nd 0.5000 0.0000 0.6030  5 Pd 3.03-3.08, 6 Ag 3.32-3.33
8 Nd 0.5000 0.6030 0.0000  5 Pd 3.03-3.08, 6 Ag 3.32-3.33
9 Nd 0.5000 0.3970 0.3970  5 Pd 3.03-3.08, 6 Ag 3.32-3.33

Values from the calculation:
- SG: No. 189
- Magnetization: 0.00 μB per formula unit
- D(E_F): 2.0 states/eV/f.u.
- Theoretical density: 8.86 Mg/m³

***

y | Density functional theory data (PBE-GGA) for a relaxed NdAgPd crystal.

Lattice parameters (Å, degrees): 4.1409 8.7743 7.3704 90.00 90.00 90.00
Last column: nearest neighbours and their distance in Å.
Fractional coordinates of all 12 atoms:
1 Pd 0.2500 0.3760 0.7677  4 Ag 2.84-2.94, 5 Nd 3.04-3.05
2 Pd 0.7500 0.6240 0.2323  4 Ag 2.84-2.94, 5 Nd 3.04-3.05
3 Pd 0.7500 0.8760 0.7323  4 Ag 2.84-2.94, 5 Nd 3.04-3.05
4 Pd 0.2500 0.1240 0.2677  4 Ag 2.84-2.94, 5 Nd 3.04-3.05
5 Ag 0.7500 0.5630 0.6248  4 Pd 2.84-2.94, 2 Ag 2.98
6 Ag 0.2500 0.0630 0.8752  4 Pd 2.84-2.94, 2 Ag 2.98
7 Ag 0.7500 0.9370 0.1248  4 Pd 2.84-2.94, 2 Ag 2.98
8 Ag 0.2500 0.4370 0.3752  4 Pd 2.84-2.94, 2 Ag 2.98
9 Nd 0.2500 0.6898 0.9413  5 Pd 3.04-3.05, 5 Ag 3.29-3.31
10 Nd 0.7500 0.1898 0.5587  5 Pd 3.04-3.05, 5 Ag 3.29-3.31
11 Nd 0.7500 0.3103 0.0587  5 Pd 3.04-3.05, 5 Ag 3.29-3.31
12 Nd 0.2500 0.8102 0.4413  5 Pd 3.04-3.05, 5 Ag 3.29-3.31

Values from the calculation:
- SG: No. 62
- Magnetization: 0.00 μB per formula unit
- D(E_F): 1.2 states/eV/f.u.
- Theoretical density: 8.89 Mg/m³

***

Relative energies, unit meV per atom: w 105; x 13; y 0

***

w | Density functional theory data (PBE-GGA) for a relaxed NdSmAgPd crystal.

Lattice parameters (Å, degrees): 5.1880 5.1880 5.1880 60.00 60.00 60.00
Last column: nearest neighbours and their distance in Å.
Fractional coordinates of all 4 atoms:
1 Pd 0.7500 0.7500 0.7500  4 Nd 3.18, 4 Sm 3.18
2 Ag 0.2500 0.2500 0.2500  4 Sm 3.18, 4 Nd 3.18
3 Nd 0.5000 0.5000 0.5000  4 Ag 3.18, 4 Pd 3.18
4 Sm 0.0000 0.0000 0.0000  4 Pd 3.18, 4 Ag 3.18

Values from the calculation:
- SG: No. 216
- Magnetization: 0.00 μB per formula unit
- D(E_F): 2.9 states/eV/f.u.
- Theoretical density: 8.56 Mg/m³

***

x | Density functional theory data (PBE-GGA) for a relaxed NdSmAgPd crystal.

Lattice parameters (Å, degrees): 3.8797 4.7894 5.8277 90.00 109.44 90.00
Last column: nearest neighbours and their distance in Å.
Fractional coordinates of all 4 atoms:
1 Pd 0.5826 0.5000 0.1653  2 Ag 2.99, 3 Nd 3.04-3.13, 4 Sm 3.14
2 Ag 0.4199 0.0000 0.8399  2 Pd 2.99, 3 Sm 3.08-3.10, 4 Nd 3.15
3 Sm 0.1378 0.0000 0.2756  3 Ag 3.08-3.10, 4 Pd 3.14
4 Nd 0.8596 0.5000 0.7192  3 Pd 3.04-3.13, 4 Ag 3.15

Values from the calculation:
- SG: No. 38
- Magnetization: 0.00 μB per formula unit
- D(E_F): 3.0 states/eV/f.u.
- Theoretical density: 8.28 Mg/m³

***

Relative energies, unit meV per atom: w 26; x 0